# GGA-PBE CaPm5Sm8, optimized geometry
# Formation enthalpy at 0 K   0.227 eV per atom
# Magnetic moment   0.0 μB/f.u.
data_CaPm5Sm8
_symmetry_space_group_name_H-M 'I -4'
_symmetry_Int_Tables_number 82
_cell_length_a 9.8036
_cell_length_b 9.8036
_cell_length_c 10.3366
_cell_angle_alpha 90.00
_cell_angle_beta 90.00
_cell_angle_gamma 90.00
loop_
_symmetry_equiv_pos_as_xyz
'x,y,z'
'y,-x,-z'
'-x,-y,z'
'-y,x,-z'
'x+1/2,y+1/2,z+1/2'
'y+1/2,-x+1/2,-z+1/2'
'-x+1/2,-y+1/2,z+1/2'
'-y+1/2,x+1/2,-z+1/2'
loop_
_atom_site_label
_atom_site_fract_x
_atom_site_fract_y
_atom_site_fract_z
_atom_site_occupancy
Ca1 0.0000 0.0000 0.0000 1
Pm1 0.0000 0.5000 0.7500 1
Pm2 0.1077 0.7096 0.3239 1
Sm1 0.0726 0.8242 0.6490 1
Sm2 0.0870 0.6737 0.9956 1